DFT (PBE) results for an optimized crystal structure of RbHgSe.

Calculated values
* volume: 102 Å³/f.u.
* density: 5.9 g cm⁻³
* formation energy without anion corrections: -0.401 eV per atom
* total magnetization: 0.0 μB per cell
* excess energy over the best structure of this formula in the dataset: 27.3 kJ/mol of atoms
* energy: -5.96 eV for the cell shown

```
RbHgSe
1.0
4.1823 0.0000 0.0000
0.0000 4.1823 0.0000
-2.0912 -2.0912 5.8366
Se Rb Hg
1 1 1
Direct
0.6653 0.6653 0.3307
0.9507 0.9507 0.9014
0.2339 0.2339 0.4679
```